(1)
# Gd5AgSe8

Gd5AgSe8 after structural relaxation (PBE, Alexandria).

Cell and atoms, written as POSCAR:
```
Gd5AgSe8
1.0
-4.3757 4.3757 4.4270
4.3757 -4.3757 4.4270
4.3757 4.3757 -4.4270
Gd Ag Se
5 1 8
direct
0.0000 0.0000 0.0000
0.1343 0.2505 0.6201
0.4858 0.8657 0.1162
0.6304 0.5142 0.3799
0.7495 0.3696 0.8838
0.2500 0.7500 0.5000
0.0078 0.6169 0.7593
0.2314 0.4803 0.1140
0.3664 0.1174 0.8860
0.3831 0.1424 0.3909
0.5197 0.6336 0.7511
0.7515 0.9922 0.6091
0.8576 0.2485 0.2407
0.8826 0.7686 0.2489
```

Output
Spin magnetization   35.0 μB per formula unit
ΔE_f (raw)   -1674.6 meV/atom

(2)
# CaNi3

CaNi3 after structural relaxation (PBE, Alexandria).

Cell and atoms, written as POSCAR:
```
CaNi3
1.0
2.7179 0.0000 0.0000
0.0000 4.0495 0.0000
-1.3346 0.0000 5.3485
Ca Ni
1 3
direct
0.0000 0.0000 0.0000
0.2995 0.5000 0.6906
0.5000 0.0000 0.5000
0.7005 0.5000 0.3094
```

Output
Spin magnetization   0.3 μB per formula unit
Calculated formation energy   0.201 eV per atom

(3)
# LiBiPbO2

LiBiPbO2 after structural relaxation (PBE, Alexandria).

Cell and atoms, written as POSCAR:
```
LiBiPbO2
1.0
4.2665 0.0000 0.0000
0.0000 4.2665 0.0000
0.0000 0.0000 4.6861
Li Bi Pb O
1 1 1 2
direct
0.0000 0.0000 0.0000
0.5000 0.5000 0.5000
0.0000 0.0000 0.5000
0.0000 0.5000 0.0000
0.5000 0.0000 0.0000
```

Output
Spin magnetization   0.5 μB per formula unit
ΔE_f (raw)   23.0 meV/atom

(4)
# As3POs

As3POs after structural relaxation (PBE, Alexandria).

Cell and atoms, written as POSCAR:
```
As3POs
1.0
4.7754 0.0000 0.0000
0.0000 4.7754 0.0000
0.0000 0.0000 4.7754
As P Os
3 1 1
direct
0.0000 0.0000 0.5000
0.0000 0.5000 0.0000
0.5000 0.0000 0.0000
0.5000 0.5000 0.5000
0.0000 0.0000 0.0000
```

Output
Spin magnetization   0.0 μB per formula unit
Relative energy among the computed polymorphs   0 meV/atom
Calculated formation energy   0.898 eV per atom

- The lowest spin magnetization belongs to which entry?
  As3POs

- Which value of spin magnetization does entry 2 give?
  0.3 μB per formula unit

- Look up the spin magnetization of the fourth one.
  0.0 μB per formula unit

- spin magnetization of number 2 (CaNi3)?
  0.3 μB per formula unit